Computed, not measured: Er6Mg5Tl after structural relaxation at the PBE-GGA level of DFT.

For the energy of formation from the pure elements, the calculation gives -0.016 eV/atom. The theoretical density is 6.58 g/cm3. The calculation puts the magnetization at 0.000 Bohr magnetons per cell.

abc: 6.0483 6.0483 10.7758
angles: 95.35 95.35 119.93
Positions (direct):
Er (0.0829, 0.4141, 0.2486)
Er (0.2488, 0.2488, 0.7521)
Er (0.4141, 0.0829, 0.2486)
Er (0.5859, 0.9171, 0.7514)
Er (0.7512, 0.7512, 0.2479)
Er (0.9171, 0.5859, 0.7514)
Mg (0.1662, 0.8338, 0.5000)
Mg (0.3331, 0.6669, 0.0000)
Mg (0.5000, 0.5000, 0.5000)
Mg (0.6669, 0.3331, 0.0000)
Mg (0.8338, 0.1662, 0.5000)
Tl (0.0000, 0.0000, 0.0000)

Computed, not measured: ErMg2Tl3 after structural relaxation at the PBE-GGA level of DFT.

For the energy of formation from the pure elements, the calculation gives -0.121 eV/atom. Its energy above the most stable polymorph in this dataset is 22 kJ/mol of formula units. The theoretical density is 9.11 g/cm3. The calculation puts the magnetization at 0.163 Bohr magnetons per cell.

abc: 3.5773 3.5773 11.8044
angles: 90.00 90.00 90.00
Positions (direct):
Er (0.0000, 0.0000, 0.0000)
Mg (0.0000, 0.0000, 0.3370)
Mg (0.0000, 0.0000, 0.6630)
Tl (0.5000, 0.5000, 0.1778)
Tl (0.5000, 0.5000, 0.5000)
Tl (0.5000, 0.5000, 0.8222)

Computed, not measured: Er2MgTl4 after structural relaxation at the PBE-GGA level of DFT.

For the energy of formation from the pure elements, the calculation gives -0.001 eV/atom. The theoretical density is 9.56 g/cm3. The calculation puts the magnetization at 0.000 Bohr magnetons per cell.

abc: 5.5861 5.5861 13.1014
angles: 90.00 90.00 90.00
Positions (direct):
Er (0.0000, 0.0000, 0.1356)
Er (0.0000, 0.0000, 0.8644)
Er (0.5000, 0.5000, 0.3644)
Er (0.5000, 0.5000, 0.6356)
Mg (0.0000, 0.0000, 0.5000)
Mg (0.5000, 0.5000, 0.0000)
Tl (0.0000, 0.5000, 0.0000)
Tl (0.0000, 0.5000, 0.2500)
Tl (0.0000, 0.5000, 0.5000)
Tl (0.0000, 0.5000, 0.7500)
Tl (0.5000, 0.0000, 0.0000)
Tl (0.5000, 0.0000, 0.2500)
Tl (0.5000, 0.0000, 0.5000)
Tl (0.5000, 0.0000, 0.7500)

Computed, not measured: ErMg3Tl2 after structural relaxation at the PBE-GGA level of DFT.

For the energy of formation from the pure elements, the calculation gives -0.111 eV/atom. The theoretical density is 7.27 g/cm3. The calculation puts the magnetization at 0.000 Bohr magnetons per cell.

abc: 8.8411 8.8411 7.8941
angles: 111.29 111.29 31.25
Positions (direct):
Er (0.1141, 0.1141, 0.1714)
Er (0.8859, 0.8859, 0.8286)
Mg (0.0702, 0.0702, 0.7016)
Mg (0.3010, 0.3010, 0.0854)
Mg (0.3700, 0.3700, 0.4989)
Mg (0.6300, 0.6300, 0.5011)
Mg (0.6990, 0.6990, 0.9146)
Mg (0.9298, 0.9298, 0.2984)
Tl (0.2415, 0.2415, 0.6764)
Tl (0.4822, 0.4822, 0.1717)
Tl (0.5178, 0.5178, 0.8283)
Tl (0.7585, 0.7585, 0.3236)

Computed, not measured: Er2Mg2Tl7 after structural relaxation at the PBE-GGA level of DFT.

For the energy of formation from the pure elements, the calculation gives -0.032 eV/atom. The theoretical density is 9.73 g/cm3. The calculation puts the magnetization at 0.000 Bohr magnetons per cell.

abc: 10.2774 10.2774 10.2774
angles: 159.66 59.69 124.54
Positions (direct):
Er (0.2462, 0.0000, 0.2462)
Er (0.7538, 0.0000, 0.7538)
Mg (0.2484, 0.2484, 0.0000)
Mg (0.6630, 0.1630, 0.5000)
Tl (0.0521, 0.6923, 0.3598)
Tl (0.3325, 0.6923, 0.6402)
Tl (0.3884, 0.4944, 0.8940)
Tl (0.6003, 0.4944, 0.1060)
Tl (0.6389, 0.2921, 0.3468)
Tl (0.9406, 0.9406, 0.0000)
Tl (0.9453, 0.2921, 0.6532)

Computed, not measured: Er6MgTl5 after structural relaxation at the PBE-GGA level of DFT.

For the energy of formation from the pure elements, the calculation gives -0.284 eV/atom. Its energy above the most stable polymorph in this dataset is 0 kJ/mol of formula units. The theoretical density is 10.66 g/cm3. The calculation puts the magnetization at 0.000 Bohr magnetons per cell.

abc: 9.2001 9.2001 5.3324
angles: 105.95 105.95 47.86
Positions (direct):
Er (0.0790, 0.5838, 0.3318)
Er (0.2440, 0.7560, 0.0000)
Er (0.4162, 0.9210, 0.6682)
Er (0.5838, 0.0790, 0.3318)
Er (0.7560, 0.2440, 0.0000)
Er (0.9210, 0.4162, 0.6682)
Mg (0.5000, 0.5000, 0.5000)
Tl (0.0000, 0.0000, 0.5000)
Tl (0.1686, 0.1686, 0.1693)
Tl (0.3427, 0.3427, 0.8429)
Tl (0.6573, 0.6573, 0.1571)
Tl (0.8314, 0.8314, 0.8307)

Computed, not measured: Er2MgTl after structural relaxation at the PBE-GGA level of DFT.

For the energy of formation from the pure elements, the calculation gives -0.217 eV/atom. Its energy above the most stable polymorph in this dataset is 0 kJ/mol of formula units. The theoretical density is 8.84 g/cm3. The calculation puts the magnetization at 0.000 Bohr magnetons per cell.

abc: 3.7988 3.7988 7.3320
angles: 90.00 90.00 90.00
Positions (direct):
Er (0.0000, 0.0000, 0.2453)
Er (0.0000, 0.0000, 0.7547)
Mg (0.5000, 0.5000, 0.0000)
Tl (0.5000, 0.5000, 0.5000)

Computed, not measured: Er5MgTl8 after structural relaxation at the PBE-GGA level of DFT.

For the energy of formation from the pure elements, the calculation gives -0.157 eV/atom. The theoretical density is 10.72 g/cm3. The calculation puts the magnetization at 0.000 Bohr magnetons per cell.

abc: 7.9487 7.9487 7.9487
angles: 108.80 108.80 110.83
Positions (direct):
Er (0.0000, 0.0000, 0.0000)
Er (0.2404, 0.6317, 0.1557)
Er (0.3683, 0.5240, 0.6087)
Er (0.4760, 0.0847, 0.8443)
Er (0.9153, 0.7596, 0.3913)
Mg (0.7500, 0.2500, 0.5000)
Tl (0.1108, 0.6922, 0.7655)
Tl (0.1366, 0.2373, 0.7617)
Tl (0.3078, 0.0732, 0.4185)
Tl (0.4756, 0.3748, 0.2383)
Tl (0.6252, 0.8634, 0.1008)
Tl (0.6547, 0.8892, 0.5815)
Tl (0.7627, 0.5244, 0.8992)
Tl (0.9268, 0.3453, 0.2345)

Computed, not measured: Er2Mg3Tl4 after structural relaxation at the PBE-GGA level of DFT.

For the energy of formation from the pure elements, the calculation gives -0.124 eV/atom. The theoretical density is 8.91 g/cm3. The calculation puts the magnetization at 0.000 Bohr magnetons per cell.

abc: 8.9027 8.9027 8.4714
angles: 90.00 90.00 137.17
Positions (direct):
Er (0.1049, 0.8951, 0.9113)
Er (0.3951, 0.6049, 0.4113)
Er (0.6049, 0.3951, 0.5887)
Er (0.8951, 0.1049, 0.0887)
Mg (0.0000, 0.0000, 0.5000)
Mg (0.0245, 0.4755, 0.7500)
Mg (0.4755, 0.0245, 0.2500)
Mg (0.5000, 0.5000, 0.0000)
Mg (0.5245, 0.9755, 0.7500)
Mg (0.9755, 0.5245, 0.2500)
Tl (0.1768, 0.8232, 0.5363)
Tl (0.1996, 0.3004, 0.7500)
Tl (0.3004, 0.1996, 0.2500)
Tl (0.3232, 0.6768, 0.0363)
Tl (0.6768, 0.3232, 0.9637)
Tl (0.6996, 0.8004, 0.7500)
Tl (0.8004, 0.6996, 0.2500)
Tl (0.8232, 0.1768, 0.4637)

Computed, not measured: Er5MgTl3 after structural relaxation at the PBE-GGA level of DFT.

For the energy of formation from the pure elements, the calculation gives -0.279 eV/atom. The theoretical density is 10.07 g/cm3. The calculation puts the magnetization at 0.000 Bohr magnetons per cell.

abc: 9.2187 9.2187 6.6060
angles: 90.00 90.00 120.00
Positions (direct):
Er (0.0000, 0.3001, 0.2500)
Er (0.0000, 0.6999, 0.7500)
Er (0.3001, 0.0000, 0.2500)
Er (0.3001, 0.3001, 0.7500)
Er (0.3333, 0.6667, 0.0000)
Er (0.3333, 0.6667, 0.5000)
Er (0.6667, 0.3333, 0.0000)
Er (0.6667, 0.3333, 0.5000)
Er (0.6999, 0.0000, 0.7500)
Er (0.6999, 0.6999, 0.2500)
Mg (0.0000, 0.0000, 0.0000)
Mg (0.0000, 0.0000, 0.5000)
Tl (0.0000, 0.3621, 0.7500)
Tl (0.0000, 0.6379, 0.2500)
Tl (0.3621, 0.0000, 0.7500)
Tl (0.3621, 0.3621, 0.2500)
Tl (0.6379, 0.0000, 0.2500)
Tl (0.6379, 0.6379, 0.7500)

Computed, not measured: ErMgTl after structural relaxation at the PBE-GGA level of DFT.

For the energy of formation from the pure elements, the calculation gives -0.151 eV/atom. The theoretical density is 7.70 g/cm3. The calculation puts the magnetization at 0.000 Bohr magnetons per cell.

abc: 6.9906 6.9906 6.9906
angles: 90.00 90.00 90.00
Positions (direct):
Er (0.0000, 0.0000, 0.0000)
Er (0.0000, 0.5000, 0.5000)
Er (0.5000, 0.0000, 0.5000)
Er (0.5000, 0.5000, 0.0000)
Mg (0.0000, 0.0000, 0.5000)
Mg (0.0000, 0.5000, 0.0000)
Mg (0.5000, 0.0000, 0.0000)
Mg (0.5000, 0.5000, 0.5000)
Tl (0.2500, 0.2500, 0.7500)
Tl (0.2500, 0.7500, 0.2500)
Tl (0.7500, 0.2500, 0.2500)
Tl (0.7500, 0.7500, 0.7500)

Computed, not measured: Er5MgTl4 after structural relaxation at the PBE-GGA level of DFT.

For the energy of formation from the pure elements, the calculation gives -0.271 eV/atom. The theoretical density is 10.48 g/cm3. The calculation puts the magnetization at 0.000 Bohr magnetons per cell.

abc: 3.7567 3.7567 18.8325
angles: 90.00 90.00 90.00
Positions (direct):
Er (0.0000, 0.0000, 0.0000)
Er (0.0000, 0.0000, 0.2020)
Er (0.0000, 0.0000, 0.4035)
Er (0.0000, 0.0000, 0.5965)
Er (0.0000, 0.0000, 0.7980)
Mg (0.5000, 0.5000, 0.5000)
Tl (0.5000, 0.5000, 0.1010)
Tl (0.5000, 0.5000, 0.3055)
Tl (0.5000, 0.5000, 0.6945)
Tl (0.5000, 0.5000, 0.8990)

Computed, not measured: ErMg2Tl after structural relaxation at the PBE-GGA level of DFT.

For the energy of formation from the pure elements, the calculation gives -0.063 eV/atom. Its energy above the most stable polymorph in this dataset is 52 kJ/mol of formula units. The theoretical density is 6.78 g/cm3. The calculation puts the magnetization at 0.070 Bohr magnetons per cell.

abc: 3.5019 3.5019 8.3899
angles: 90.00 90.00 90.00
Positions (direct):
Er (0.0000, 0.0000, 0.0000)
Mg (0.5000, 0.5000, 0.2687)
Mg (0.5000, 0.5000, 0.7313)
Tl (0.0000, 0.0000, 0.5000)

Computed, not measured: Er2TmMgTl4 after structural relaxation at the PBE-GGA level of DFT.

For the energy of formation from the pure elements, the calculation gives -0.258 eV/atom. The theoretical density is 10.71 g/cm3. The calculation puts the magnetization at 0.000 Bohr magnetons per cell.

abc: 9.3220 9.3220 9.3220
angles: 32.55 32.55 32.55
Positions (direct):
Er (0.2447, 0.2447, 0.2447)
Er (0.7553, 0.7553, 0.7553)
Tm (0.0000, 0.0000, 0.0000)
Mg (0.5000, 0.5000, 0.5000)
Tl (0.1242, 0.1242, 0.1242)
Tl (0.3754, 0.3754, 0.3754)
Tl (0.6246, 0.6246, 0.6246)
Tl (0.8758, 0.8758, 0.8758)

Computed, not measured: YEr2MgTl4 after structural relaxation at the PBE-GGA level of DFT.

For the energy of formation from the pure elements, the calculation gives -0.280 eV/atom. The theoretical density is 9.96 g/cm3. The calculation puts the magnetization at 0.000 Bohr magnetons per cell.

abc: 9.3750 9.3750 9.3750
angles: 32.45 32.45 32.45
Positions (direct):
Y (0.0000, 0.0000, 0.0000)
Er (0.2445, 0.2445, 0.2445)
Er (0.7555, 0.7555, 0.7555)
Mg (0.5000, 0.5000, 0.5000)
Tl (0.1248, 0.1248, 0.1248)
Tl (0.3765, 0.3765, 0.3765)
Tl (0.6235, 0.6235, 0.6235)
Tl (0.8752, 0.8752, 0.8752)

Computed, not measured: ErMgTlZn after structural relaxation at the PBE-GGA level of DFT.

For the energy of formation from the pure elements, the calculation gives -0.243 eV/atom. The theoretical density is 8.45 g/cm3. The calculation puts the magnetization at 0.000 Bohr magnetons per cell.

abc: 7.1318 7.1318 7.1318
angles: 90.00 90.00 90.00
Positions (direct):
Er (0.0000, 0.0000, 0.0000)
Er (0.0000, 0.5000, 0.5000)
Er (0.5000, 0.0000, 0.5000)
Er (0.5000, 0.5000, 0.0000)
Mg (0.0000, 0.0000, 0.5000)
Mg (0.0000, 0.5000, 0.0000)
Mg (0.5000, 0.0000, 0.0000)
Mg (0.5000, 0.5000, 0.5000)
Tl (0.2500, 0.2500, 0.2500)
Tl (0.2500, 0.7500, 0.7500)
Tl (0.7500, 0.2500, 0.7500)
Tl (0.7500, 0.7500, 0.2500)
Zn (0.2500, 0.2500, 0.7500)
Zn (0.2500, 0.7500, 0.2500)
Zn (0.7500, 0.2500, 0.2500)
Zn (0.7500, 0.7500, 0.7500)

Computed, not measured: Er4TmMg2 after structural relaxation at the PBE-GGA level of DFT.

For the energy of formation from the pure elements, the calculation gives 0.070 eV/atom. Its energy above the most stable polymorph in this dataset is 24 kJ/mol of formula units. The theoretical density is 7.36 g/cm3. The calculation puts the magnetization at 0.000 Bohr magnetons per cell.

abc: 8.5461 8.5461 8.5461
angles: 36.75 36.75 36.75
Positions (direct):
Er (0.0690, 0.0690, 0.0690)
Er (0.2078, 0.2078, 0.2078)
Er (0.7922, 0.7922, 0.7922)
Er (0.9310, 0.9310, 0.9310)
Tm (0.5000, 0.5000, 0.5000)
Mg (0.3517, 0.3517, 0.3517)
Mg (0.6483, 0.6483, 0.6483)

Computed, not measured: ErTm2Mg after structural relaxation at the PBE-GGA level of DFT.

For the energy of formation from the pure elements, the calculation gives -0.025 eV/atom. Its energy above the most stable polymorph in this dataset is 0 kJ/mol of formula units. The theoretical density is 7.68 g/cm3. The calculation puts the magnetization at 0.000 Bohr magnetons per cell.

abc: 9.8920 9.8900 4.9782
angles: 75.45 75.40 29.15
Positions (direct):
Er (0.1297, 0.1297, 0.8703)
Er (0.8703, 0.8703, 0.1297)
Tm (0.0000, 0.0000, 0.5000)
Tm (0.3698, 0.3698, 0.6302)
Tm (0.5000, 0.5000, 0.0000)
Tm (0.6302, 0.6302, 0.3698)
Mg (0.2500, 0.2500, 0.2500)
Mg (0.7500, 0.7500, 0.7500)

Computed, not measured: Er4TmMg6 after structural relaxation at the PBE-GGA level of DFT.

For the energy of formation from the pure elements, the calculation gives 0.276 eV/atom. The theoretical density is 5.24 g/cm3. The calculation puts the magnetization at 0.000 Bohr magnetons per cell.

abc: 8.3354 8.3354 5.1769
angles: 90.00 90.00 120.00
Positions (direct):
Er (0.0000, 0.0000, 0.0000)
Er (0.0569, 0.5285, 0.5000)
Er (0.4715, 0.5285, 0.5000)
Er (0.4715, 0.9431, 0.5000)
Tm (0.6667, 0.3333, 0.0000)
Mg (0.2123, 0.4247, 0.0000)
Mg (0.2123, 0.7877, 0.0000)
Mg (0.2408, 0.1204, 0.5000)
Mg (0.5753, 0.7877, 0.0000)
Mg (0.8796, 0.1204, 0.5000)
Mg (0.8796, 0.7592, 0.5000)

Computed, not measured: Er4TmMg7 after structural relaxation at the PBE-GGA level of DFT.

For the energy of formation from the pure elements, the calculation gives -0.015 eV/atom. Its energy above the most stable polymorph in this dataset is 0 kJ/mol of formula units. The theoretical density is 5.31 g/cm3. The calculation puts the magnetization at 0.000 Bohr magnetons per cell.

abc: 5.2688 5.2688 13.1160
angles: 90.00 90.00 120.00
Positions (direct):
Er (0.3333, 0.6667, 0.1597)
Er (0.3333, 0.6667, 0.4214)
Er (0.6667, 0.3333, 0.5786)
Er (0.6667, 0.3333, 0.8403)
Tm (0.0000, 0.0000, 0.0000)
Mg (0.0000, 0.0000, 0.2610)
Mg (0.0000, 0.0000, 0.5000)
Mg (0.0000, 0.0000, 0.7390)
Mg (0.3333, 0.6667, 0.6813)
Mg (0.3333, 0.6667, 0.9173)
Mg (0.6667, 0.3333, 0.0827)
Mg (0.6667, 0.3333, 0.3187)